Entry 1:
KIr2RhCl: relaxed, PBE-GGA.

a = 5.0175 Å, b = 5.0382 Å, c = 5.0175 Å
α = 90.00°, β = 90.00°, γ = 90.00°
Each line ends with the local moment (μB).
Sites, in units of the cell vectors:
K1 0.0000 0.0000 0.0000  -0.02
Ir1 0.0000 0.0000 0.5000  1.46
Ir2 0.5000 0.0000 0.0000  1.59
Rh1 0.0000 0.5000 0.0000  1.27
Cl1 0.5000 0.5000 0.5000  0.24

Calculated values
Formation energy without anion corrections ... 2.937 eV/atom

***

Entry 2:
KIrS2Cl: relaxed, PBE-GGA.

a = 4.5955 Å, b = 4.5955 Å, c = 5.5697 Å
α = 90.00°, β = 90.00°, γ = 90.00°
Sites, in units of the cell vectors:
K1 0.5000 0.5000 0.5000
Ir1 0.0000 0.0000 0.0000
S1 0.0000 0.5000 0.0000
S2 0.5000 0.0000 0.0000
Cl1 0.0000 0.0000 0.5000

Calculated values
Formation energy without anion corrections ... -0.358 eV/atom
Energy above the lowest structure with this stoichiometry ... 0 meV/atom

***

Entry 3:
KIrSCl2: relaxed, PBE-GGA.

a = 5.4889 Å, b = 5.4889 Å, c = 5.6739 Å
α = 90.00°, β = 90.00°, γ = 90.00°
Each line ends with the local moment (μB).
Sites, in units of the cell vectors:
K1 0.0000 0.0000 0.0000  0.02
Ir1 0.5000 0.5000 0.5000  2.23
S1 0.0000 0.0000 0.5000  0.82
Cl1 0.0000 0.5000 0.0000  0.16
Cl2 0.5000 0.0000 0.0000  0.16

Calculated values
Formation energy without anion corrections ... 1.300 eV/atom
Energy above the lowest structure with this stoichiometry ... 1922 meV/atom

***

Entry 4:
KIrS2Cl: relaxed, PBE-GGA.

a = 5.5474 Å, b = 5.5474 Å, c = 5.3845 Å
α = 90.00°, β = 90.00°, γ = 90.00°
Each line ends with the local moment (μB).
Sites, in units of the cell vectors:
K1 0.0000 0.0000 0.0000  0.04
Ir1 0.5000 0.5000 0.5000  2.24
S1 0.0000 0.5000 0.0000  0.80
S2 0.5000 0.0000 0.0000  0.80
Cl1 0.0000 0.0000 0.5000  0.19

Calculated values
Formation energy without anion corrections ... 1.750 eV/atom
Energy above the lowest structure with this stoichiometry ... 2108 meV/atom

***

Entry 5:
KIrSCl2: relaxed, PBE-GGA.

a = 5.2159 Å, b = 5.2159 Å, c = 4.4088 Å
α = 90.00°, β = 90.00°, γ = 90.00°
Sites, in units of the cell vectors:
K1 0.5000 0.5000 0.5000
Ir1 0.0000 0.0000 0.0000
S1 0.0000 0.0000 0.5000
Cl1 0.0000 0.5000 0.0000
Cl2 0.5000 0.0000 0.0000

Calculated values
Formation energy without anion corrections ... -0.622 eV/atom
Energy above the lowest structure with this stoichiometry ... 0 meV/atom

***

Entry 6:
KSbIrCl2: relaxed, PBE-GGA.

a = 5.2829 Å, b = 5.0001 Å, c = 5.2829 Å
α = 90.00°, β = 90.00°, γ = 90.00°
Sites, in units of the cell vectors:
Sb1 0.0000 0.5000 0.0000
K1 0.5000 0.5000 0.5000
Ir1 0.0000 0.0000 0.0000
Cl1 0.0000 0.0000 0.5000
Cl2 0.5000 0.0000 0.0000

Calculated values
Formation energy without anion corrections ... -0.301 eV/atom

***

Q: Among the records above, which one has the highest formation energy without anion corrections?
A: KIr2RhCl

***

Q: Which of these has the lowest formation energy without anion corrections?
A: number 5

***

Q: What is the formation energy without anion corrections in the second record?
A: -0.358 eV/atom

***

Q: What is the formula in the sixth record?
A: KSbIrCl2